[1]
! DyErPt, relaxed, DFT GGA-PBE; values from VASP
! * total energy: -6.045 eV per atom
! * relative energy among the computed polymorphs: 0.000 eV per formula unit
! * SG: Pnma, No. 62
! * E_form: -2.915 eV/f.u.
! * density: 11.84 g/cm³
&SYSTEM
  ibrav = 0, nat = 12, ntyp = 3
/
ATOMIC_SPECIES
Dy 162.50 Dy.upf
Er 167.26 Er.upf
Pt 195.08 Pt.upf
ATOMIC_POSITIONS angstrom
Dy 0.069 1.186 1.469
Dy 3.485 3.558 5.834
Dy 3.624 1.186 2.896
Dy 7.040 3.558 7.261
Er 1.021 1.186 5.064
Er 2.534 3.558 0.699
Er 4.575 1.186 8.031
Er 6.088 3.558 3.666
Pt 1.730 1.186 7.918
Pt 1.825 3.558 3.553
Pt 5.284 1.186 5.178
Pt 5.379 3.558 0.812
CELL_PARAMETERS angstrom
7.109 0.000 0.000
0.000 4.743 0.000
0.000 0.000 8.730


[2]
! DyErPt, relaxed, DFT GGA-PBE; values from VASP
! * total energy: -5.154 eV per atom
! * relative energy among the computed polymorphs: 2.674 eV per formula unit
! * SG: F-43m, No. 216
! * E_form: -0.241 eV/f.u.
! * density: 11.61 g/cm³
&SYSTEM
  ibrav = 0, nat = 3, ntyp = 3
/
ATOMIC_SPECIES
Dy 162.50 Dy.upf
Er 167.26 Er.upf
Pt 195.08 Pt.upf
ATOMIC_POSITIONS angstrom
Dy 0.000 0.000 0.000
Er 5.023 5.023 5.023
Pt 1.674 1.674 1.674
CELL_PARAMETERS angstrom
0.000 3.348 3.348
3.348 0.000 3.348
3.348 3.348 0.000


[3]
! DyErSi2Pt, relaxed, DFT GGA-PBE; values from VASP
! * total energy: -6.256 eV per atom
! * SG: C2/m, No. 12
! * density: 9.76 g/cm³
&SYSTEM
  ibrav = 0, nat = 10, ntyp = 4
/
ATOMIC_SPECIES
Dy 162.50 Dy.upf
Er 167.26 Er.upf
Si 28.09 Si.upf
Pt 195.08 Pt.upf
ATOMIC_POSITIONS angstrom
Dy 1.439 0.000 0.969
Dy 4.153 0.000 7.999
Er -1.455 0.000 2.924
Er 7.047 0.000 6.044
Si 1.629 0.000 3.974
Si 4.440 0.000 1.017
Si 1.151 0.000 7.950
Si 3.963 0.000 4.994
Pt -0.292 0.000 5.882
Pt 5.884 0.000 3.085
CELL_PARAMETERS angstrom
5.151 -2.140 0.000
5.151 2.140 0.000
-4.709 0.000 8.968


[4]
! DyEr2Sn3Pt3, relaxed, DFT GGA-PBE; values from VASP
! * total energy: -5.973 eV per atom
! * SG: Amm2, No. 38
! * density: 12.28 g/cm³
&SYSTEM
  ibrav = 0, nat = 9, ntyp = 4
/
ATOMIC_SPECIES
Dy 162.50 Dy.upf
Er 167.26 Er.upf
Sn 118.71 Sn.upf
Pt 195.08 Pt.upf
ATOMIC_POSITIONS angstrom
Dy 0.000 0.000 0.000
Er 0.000 -2.632 2.929
Er 0.000 2.632 2.929
Sn 2.002 0.000 2.506
Sn 2.002 -1.686 5.413
Sn 2.002 1.686 5.413
Pt 0.000 0.000 4.437
Pt 2.002 -4.317 4.449
Pt 2.002 4.317 4.449
CELL_PARAMETERS angstrom
4.004 0.000 0.000
0.000 6.495 3.741
0.000 -6.495 3.741


| no. | total magnetic moment (μB per formula unit) |
| --- | --- |
| 1 | 0.0 |
| 2 | 0.0 |
| 3 | 0.3 |
| 4 | 0.0 |